# 1
VASP calculation (PBE-GGA) on a relaxed structure of KPt2Rh.

Values from the calculation:
- Fermi-level density of states (states/eV/cell) = 4.17
- uncorrected energy (eV/cell) = -19.5
- crystal system = monoclinic
- formation energy from the elements (eV/atom) = 0.246

abc: 2.737 4.423 6.915
angles: 90.00 98.99 90.00
Space group Pm (No. 6)
Inequivalent atoms, fractional coordinates:
K (0.000, 0.000, 0.000) [1 per cell]
Pt (0.616, 0.500, 0.295) [1 per cell]
Pt (0.705, 0.000, 0.528) [1 per cell]
Rh (0.249, 0.500, 0.634) [1 per cell]

# 2
VASP calculation (PBE-GGA) on a relaxed structure of KPtRh2.

Values from the calculation:
- Fermi-level density of states (states/eV/cell) = 4.88
- E above lowest polymorph (meV per atom) = 0.0
- uncorrected energy (eV/cell) = -20.7
- crystal system = tetragonal
- formation energy from the elements (eV/atom) = 0.287

abc: 2.831 2.831 9.021
angles: 90.00 90.00 90.00
Space group P4mm (No. 99)
Inequivalent atoms, fractional coordinates:
K (0.000, 0.000, 0.000) [1 per cell]
Pt (0.500, 0.500, 0.295) [1 per cell]
Rh (0.000, 0.000, 0.506) [1 per cell]
Rh (0.500, 0.500, 0.696) [1 per cell]